DFT (PBE) results for an optimized crystal structure of TaAsW3.

Crystal system: cubic
DFT formation energy (eV/atom): 2.365
D(E_F) (states/eV/cell): 5.36
Space-group type: Pm-3m, No. 221
Energy relative to the lowest polymorph listed for this composition (meV per atom): 953

Geometry as CIF:
```
data_TaAsW3
_symmetry_space_group_name_H-M 'P 1'
_symmetry_Int_Tables_number 1
_cell_length_a 4.815
_cell_length_b 4.815
_cell_length_c 4.815
_cell_angle_alpha 90.00
_cell_angle_beta 90.00
_cell_angle_gamma 90.00
loop_
_symmetry_equiv_pos_as_xyz
'x,y,z'
loop_
_atom_site_label
_atom_site_fract_x
_atom_site_fract_y
_atom_site_fract_z
Ta1 0.000 0.000 0.000
As1 0.500 0.500 0.500
W1 0.000 0.000 0.500
W2 0.000 0.500 0.000
W3 0.500 0.000 0.000
```

DFT (PBE) results for an optimized crystal structure of TaAsW4.

Crystal system: cubic
DFT formation energy (eV/atom): 0.479
D(E_F) (states/eV/cell): 2.55
Space-group type: F-43m, No. 216

Geometry as CIF:
```
data_TaAsW4
_symmetry_space_group_name_H-M 'P 1'
_symmetry_Int_Tables_number 1
_cell_length_a 5.306
_cell_length_b 5.306
_cell_length_c 5.306
_cell_angle_alpha 60.00
_cell_angle_beta 60.00
_cell_angle_gamma 60.00
loop_
_symmetry_equiv_pos_as_xyz
'x,y,z'
loop_
_atom_site_label
_atom_site_fract_x
_atom_site_fract_y
_atom_site_fract_z
Ta1 0.000 0.000 0.000
As1 0.750 0.750 0.750
W1 0.375 0.375 0.375
W2 0.375 0.375 0.876
W3 0.375 0.876 0.375
W4 0.876 0.375 0.375
```